Entry 1
## PrDyPd (PBE)

Data for PrDyPd after structural relaxation.

Computed properties:
spin magnetization = 0.00 μB/cell
Fermi-level density of states = 1.217 states/eV/atom
space-group type = P-1 (2)
crystal system = triclinic

Cell: 3.6118 7.3067 6.7154 Å, 106.25 105.63 89.99°
Element x y z (fractional)
Pr1 0.3011 0.4834 0.3675
Pr2 0.5768 0.6205 0.9213
Dy1 0.5761 0.1194 0.9183
Dy2 0.3017 0.9845 0.3705
Pd1 0.9429 0.2744 0.6525
Pd2 0.9349 0.8296 0.6364


Entry 2
## PrDyPd (PBE)

Data for PrDyPd after structural relaxation.

Computed properties:
spin magnetization = 0.00 μB/cell
Fermi-level density of states = 1.119 states/eV/atom
space-group type = F-43m (216)
crystal system = cubic

Cell: 4.9900 4.9900 4.9900 Å, 60.00 60.00 60.00°
Element x y z (fractional)
Pr1 0.0000 0.0000 0.0000
Pd1 0.2500 0.2500 0.2500
Dy1 0.5000 0.5000 0.5000


Entry 3
## PrDyPd (PBE)

Data for PrDyPd after structural relaxation.

Computed properties:
spin magnetization = 0.00 μB/cell
Fermi-level density of states = 0.807 states/eV/atom
space-group type = P3m1 (156)
crystal system = trigonal

Cell: 4.0516 4.8037 4.8037 Å, 120.00 90.00 90.00°
Element x y z (fractional)
Pr1 0.2968 0.3333 0.6667
Pd1 0.9344 0.0000 0.0000
Dy1 0.7688 0.6667 0.3333


Entry 4
## PrDyPd (PBE)

Data for PrDyPd after structural relaxation.

Computed properties:
spin magnetization = 0.00 μB/cell
Fermi-level density of states = 0.980 states/eV/atom
space-group type = P2_1/c (14)
crystal system = monoclinic

Cell: 6.4482 8.6992 7.2945 Å, 125.33 90.00 90.00°
Element x y z (fractional)
Pr1 0.3651 0.1358 0.7737
Pr2 0.6349 0.8642 0.2263
Pr3 0.8651 0.3642 0.7263
Pr4 0.1349 0.6358 0.2737
Dy1 0.8415 0.2031 0.1278
Dy2 0.6585 0.7031 0.6278
Dy3 0.1585 0.7969 0.8722
Dy4 0.3415 0.2969 0.3722
Pd1 0.4046 0.5177 0.8373
Pd2 0.5954 0.4823 0.1627
Pd3 0.0954 0.0177 0.3373
Pd4 0.9046 0.9823 0.6627


It is entry 3 that is the least stable of them.


Entry 1
## PrDyPd (PBE)

Data for PrDyPd after structural relaxation.

Computed properties:
spin magnetization = 0.00 μB/cell
Fermi-level density of states = 1.062 states/eV/atom
space-group type = I4mm (107)
crystal system = tetragonal

Cell: 3.6119 3.6119 6.7556 Å, 105.51 105.51 90.00°
Element x y z (fractional)
Pr1 0.0225 0.0225 0.0449
Pd1 0.6797 0.6797 0.3593
Dy1 0.2979 0.2979 0.5957


Entry 2
## PrDyPd (PBE)

Data for PrDyPd after structural relaxation.

Computed properties:
spin magnetization = 0.00 μB/cell
Fermi-level density of states = 0.872 states/eV/atom
space-group type = Cmcm (63)
crystal system = orthorhombic

Cell: 5.0890 5.0890 6.3026 Å, 90.00 90.00 110.78°
Element x y z (fractional)
Pr1 0.6446 0.3554 0.7500
Pr2 0.3554 0.6446 0.2500
Dy1 0.2763 0.7237 0.7500
Dy2 0.7237 0.2763 0.2500
Pd1 0.0000 0.0000 0.0000
Pd2 0.0000 0.0000 0.5000


It is entry 2 that is the least stable of them.


Entry 1
## PrDyPdRh (PBE)

Data for PrDyPdRh after structural relaxation.

Computed properties:
spin magnetization = 0.00 μB/cell
Fermi-level density of states = 0.700 states/eV/atom
space-group type = Amm2 (38)
crystal system = orthorhombic

Cell: 3.8075 4.4928 5.7029 Å, 90.00 109.50 90.00°
Element x y z (fractional)
Pr1 0.1435 0.0000 0.2870
Dy1 0.8652 0.5000 0.7304
Pd1 0.5821 0.5000 0.1642
Rh1 0.4092 0.0000 0.8183


Entry 2
## PrDyPdRh (PBE)

Data for PrDyPdRh after structural relaxation.

Computed properties:
spin magnetization = 0.00 μB/cell
Fermi-level density of states = 0.740 states/eV/atom
space-group type = F-43m (216)
crystal system = cubic

Cell: 5.0046 5.0046 5.0046 Å, 60.00 60.00 60.00°
Element x y z (fractional)
Pr1 0.7500 0.7500 0.7500
Rh1 0.5000 0.5000 0.5000
Pd1 0.0000 0.0000 0.0000
Dy1 0.2500 0.2500 0.2500


It is entry 2 that is the least stable of them.


Entry 1
## DyPdPt (PBE)

Data for DyPdPt after structural relaxation.

Computed properties:
spin magnetization = 0.00 μB/cell
Fermi-level density of states = 0.483 states/eV/atom
space-group type = Cmcm (63)
crystal system = orthorhombic

Cell: 4.4282 5.0896 5.6783 Å, 90.00 90.00 115.79°
Element x y z (fractional)
Dy1 0.6902 0.8805 0.7500
Dy2 0.3098 0.1195 0.2500
Pd1 0.6107 0.7214 0.2500
Pd2 0.3893 0.2786 0.7500
Pt1 0.0000 0.5000 0.0000
Pt2 0.0000 0.5000 0.5000


Entry 2
## DyPdPt (PBE)

Data for DyPdPt after structural relaxation.

Computed properties:
spin magnetization = 0.00 μB/cell
Fermi-level density of states = 0.491 states/eV/atom
space-group type = Immm (71)
crystal system = orthorhombic

Cell: 4.5761 4.5761 4.5761 Å, 108.50 108.22 111.72°
Element x y z (fractional)
Dy1 0.5000 0.0000 0.5000
Pd1 0.5000 0.5000 0.0000
Pt1 0.0000 0.0000 0.0000


Entry 3
## DyPdPt (PBE)

Data for DyPdPt after structural relaxation.

Computed properties:
spin magnetization = 0.00 μB/cell
Fermi-level density of states = 0.932 states/eV/atom
space-group type = P-6m2 (187)
crystal system = hexagonal

Cell: 3.5743 4.4700 4.4700 Å, 120.00 90.00 90.00°
Element x y z (fractional)
Pd1 0.1663 0.0000 0.0000
Pt1 0.1670 0.3333 0.6667
Dy1 0.6667 0.6667 0.3333


Entry 4
## DyPdPt (PBE)

Data for DyPdPt after structural relaxation.

Computed properties:
spin magnetization = 0.00 μB/cell
Fermi-level density of states = 0.467 states/eV/atom
space-group type = P-1 (2)
crystal system = triclinic

Cell: 5.0318 5.0732 6.5125 Å, 55.53 73.29 59.58°
Element x y z (fractional)
Pt1 0.1798 0.3922 0.1802
Pt2 0.8202 0.6078 0.8198
Dy1 0.8367 0.9716 0.2955
Dy2 0.1633 0.0284 0.7045
Pd1 0.5050 0.6835 0.2365
Pd2 0.4950 0.3165 0.7635


It is entry 2 that is the least stable of them.


Entry 1
## Dy2PdPt4 (PBE)

Data for Dy2PdPt4 after structural relaxation.

Computed properties:
spin magnetization = 0.00 μB/cell
Fermi-level density of states = 0.508 states/eV/atom
space-group type = I4/mmm (139)
crystal system = tetragonal

Cell: 3.9044 3.9044 9.6052 Å, 101.73 101.73 90.00°
Element x y z (fractional)
Dy1 0.6041 0.6041 0.2083
Dy2 0.3959 0.3959 0.7917
Pd1 0.0000 0.0000 0.0000
Pt1 0.1432 0.1432 0.2864
Pt2 0.8568 0.8568 0.7136
Pt3 0.7500 0.2500 0.5000
Pt4 0.2500 0.7500 0.5000


Entry 2
## Dy2PdPt4 (PBE)

Data for Dy2PdPt4 after structural relaxation.

Computed properties:
spin magnetization = 0.00 μB/cell
Fermi-level density of states = 0.677 states/eV/atom
space-group type = Fmmm (69)
crystal system = orthorhombic

Cell: 9.0324 5.4916 6.2102 Å, 116.24 90.00 90.00°
Element x y z (fractional)
Dy1 0.0000 0.6443 0.2887
Dy2 0.0000 0.3557 0.7113
Dy3 0.5000 0.8557 0.7113
Dy4 0.5000 0.1443 0.2887
Pd1 0.0000 0.0000 0.0000
Pd2 0.5000 0.5000 0.0000
Pt1 0.7502 0.7494 0.0000
Pt2 0.7500 0.4999 0.5000
Pt3 0.7500 0.9999 0.5000
Pt4 0.7498 0.2494 0.0000
Pt5 0.2502 0.7506 0.0000
Pt6 0.2500 0.0001 0.5000
Pt7 0.2500 0.5001 0.5000
Pt8 0.2498 0.2506 0.0000


It is entry 2 that is the least stable of them.


Entry 1
## Dy2PdPt9 (PBE)

Data for Dy2PdPt9 after structural relaxation.

Computed properties:
spin magnetization = 0.00 μB/cell
Fermi-level density of states = 1.258 states/eV/atom
space-group type = P4/mmm (123)
crystal system = tetragonal

Cell: 4.0630 4.0630 12.2592 Å, 90.00 90.00 90.00°
Element x y z (fractional)
Dy1 0.0000 0.0000 0.3299
Dy2 0.0000 0.0000 0.6701
Pd1 0.0000 0.0000 0.0000
Pt1 0.5000 0.5000 0.0000
Pt2 0.5000 0.5000 0.3299
Pt3 0.5000 0.5000 0.6701
Pt4 0.5000 0.0000 0.1596
Pt5 0.5000 0.0000 0.5000
Pt6 0.5000 0.0000 0.8404
Pt7 0.0000 0.5000 0.1596
Pt8 0.0000 0.5000 0.5000
Pt9 0.0000 0.5000 0.8404


Entry 2
## Dy2PdPt9 (PBE)

Data for Dy2PdPt9 after structural relaxation.

Computed properties:
spin magnetization = 0.00 μB/cell
Fermi-level density of states = 0.659 states/eV/atom
space-group type = R-3m (166)
crystal system = trigonal

Cell: 5.3676 5.3676 9.3194 Å, 73.26 73.26 60.00°
Element x y z (fractional)
Dy1 0.8662 0.8662 0.4013
Dy2 0.1338 0.1338 0.5987
Pd1 0.0000 0.0000 0.0000
Pt1 0.6674 0.6674 0.9978
Pt2 0.3326 0.3326 0.0022
Pt3 0.5000 0.5000 0.5000
Pt4 0.4126 0.4126 0.2557
Pt5 0.9191 0.4126 0.2557
Pt6 0.4126 0.9191 0.2557
Pt7 0.5874 0.5874 0.7443
Pt8 0.5874 0.0809 0.7443
Pt9 0.0809 0.5874 0.7443


It is entry 2 that is the least stable of them.